[1]
# SrLa2BeSi

A geometry-optimized SrLa2BeSi structure (PBE-GGA, Alexandria via LeMat-Bulk). Values from VASP.

The structure in Quantum ESPRESSO input format:
```
&SYSTEM
  ibrav = 0, nat = 5, ntyp = 4
/
ATOMIC_SPECIES
Sr 87.62 Sr.upf
La 138.91 La.upf
Be 9.01 Be.upf
Si 28.09 Si.upf
CELL_PARAMETERS angstrom
5.751 0.000 0.000
0.000 5.751 0.000
0.000 0.000 4.754
ATOMIC_POSITIONS crystal
Sr 0.000 0.000 0.000
La 0.000 0.500 0.000
La 0.500 0.000 0.000
Be 0.000 0.000 0.500
Si 0.500 0.500 0.500
```

Summary:
- Formation energy from raw total energies: 1405 meV per atom

---

[2]
# LaBeTe2Ru

A geometry-optimized LaBeTe2Ru structure (PBE-GGA, Alexandria via LeMat-Bulk). Values from VASP.

The structure in Quantum ESPRESSO input format:
```
&SYSTEM
  ibrav = 0, nat = 5, ntyp = 4
/
ATOMIC_SPECIES
La 138.91 La.upf
Be 9.01 Be.upf
Te 127.60 Te.upf
Ru 101.07 Ru.upf
CELL_PARAMETERS angstrom
4.824 0.000 0.000
0.000 4.824 0.000
0.000 0.000 4.914
ATOMIC_POSITIONS crystal
La 0.000 0.000 0.000
Be 0.000 0.000 0.500
Te 0.000 0.500 0.500
Te 0.500 0.000 0.500
Ru 0.500 0.500 0.000
```

Summary:
- Formation energy from raw total energies: 459 meV per atom